NaAl2Tl2 | PBE | optimized geometry

Properties
Its formation energy from the elements is 0.09 eV/atom. The volume is 263 Å³/cell. As for the magnetization: 0.00 μB per cell. The crystal system is tetragonal.

Cell lengths 3.8643, 3.8643, 17.5978 Å; angles 90.00, 90.00, 90.00 degrees
With the nearest neighbours (Å) after each atom.
Space group I4/mmm (No. 139)
Symmetry-distinct sites (fractional):
Na 0.0000 0.0000 0.0000  8 Tl 3.40
Al 0.0000 0.5000 0.2500  4 Al 2.73
Tl 0.0000 0.0000 0.3851  4 Al 3.06, 4 Na 3.40